CaCoPb2: relaxed, GGA-PBEsol.

POSCAR file:
```
CaCoPb2
1.0
3.376 0.000 0.000
0.000 3.376 0.000
0.000 0.000 7.608
Pb Ca Co
2 1 1
Direct
0.000 0.000 0.701
0.000 0.000 0.299
0.500 0.500 0.000
0.500 0.500 0.500
```

- E_tot: -17.71 eV per cell